VASP calculation (PBEsol) on an optimized crystal structure of Re2TcMoCl.

```
Re2TcMoCl
1.0
-2.250 -0.733 -4.006
-3.957 -0.914 2.390
-1.163 4.563 -0.181
Re Mo Tc Cl
2 1 1 1
Cartesian
-0.582 2.282 -0.091
-1.979 -0.457 1.195
0.000 0.000 0.000
-1.125 -0.366 -2.003
-3.685 1.458 -0.899
```

Results
Energy relative to the elements, uncorrected, kJ per mole of atoms: 241.0
DFT total energy, eV per cell: -39.216
Total magnetization, Bohr magnetons per cell: 3.29
Space group: P4/mmm
D(E_F), states/eV per cell: 7.843

=====

VASP calculation (PBEsol) on an optimized crystal structure of Mo2RhCl.

```
Mo2RhCl
1.0
2.774 0.000 0.000
0.000 4.530 0.000
0.000 0.000 4.530
Mo Rh Cl
2 1 1
Cartesian
0.000 0.000 2.265
0.000 2.265 0.000
1.387 2.265 2.265
1.387 0.000 0.000
```

Results
Energy relative to the elements, uncorrected, kJ per mole of atoms: 36.3
DFT total energy, eV per cell: -32.175
Total magnetization, Bohr magnetons per cell: 0.00
Energy above the lowest structure with this stoichiometry, meV/atom: 226.6
Space group: P4/mmm
D(E_F), states/eV per cell: 2.608

=====

VASP calculation (PBEsol) on an optimized crystal structure of Mo2RhCl.

```
Mo2RhCl
1.0
4.329 0.000 0.000
2.164 3.749 0.000
2.164 1.250 3.535
Mo Rh Cl
2 1 1
Cartesian
2.164 1.250 0.884
6.493 3.749 2.651
4.329 2.499 1.767
0.000 0.000 0.000
```

Results
Energy relative to the elements, uncorrected, kJ per mole of atoms: 48.6
DFT total energy, eV per cell: -31.668
Total magnetization, Bohr magnetons per cell: 0.00
Energy above the lowest structure with this stoichiometry, meV/atom: 353.5
Space group: Fm-3m
D(E_F), states/eV per cell: 3.832

=====

VASP calculation (PBEsol) on an optimized crystal structure of Mo2RhCl.

```
Mo2RhCl
1.0
2.828 0.000 0.000
0.000 2.828 0.000
0.000 0.000 7.522
Mo Rh Cl
2 1 1
Cartesian
0.000 0.000 7.419
1.414 1.414 1.929
0.000 0.000 3.623
1.414 1.414 5.833
```

Results
Energy relative to the elements, uncorrected, kJ per mole of atoms: 14.5
DFT total energy, eV per cell: -33.082
Total magnetization, Bohr magnetons per cell: 0.00
Energy above the lowest structure with this stoichiometry, meV/atom: 0.0
Space group: P4mm
D(E_F), states/eV per cell: 3.662

=====

VASP calculation (PBEsol) on an optimized crystal structure of Mo2RhCl.

```
Mo2RhCl
1.0
-0.245 2.184 -1.757
-1.835 2.059 0.561
5.258 5.545 3.907
Mo Rh Cl
2 1 1
Cartesian
0.761 2.423 0.653
2.418 7.365 2.058
1.589 4.894 1.356
0.000 0.000 0.000
```

Results
Energy relative to the elements, uncorrected, kJ per mole of atoms: 14.6
DFT total energy, eV per cell: -33.075
Total magnetization, Bohr magnetons per cell: 0.00
Energy above the lowest structure with this stoichiometry, meV/atom: 1.6
Space group: R-3m
D(E_F), states/eV per cell: 4.134

=====

VASP calculation (PBEsol) on an optimized crystal structure of MoRh2Cl.

```
MoRh2Cl
1.0
4.308 0.000 0.000
2.154 3.731 0.000
2.154 1.244 3.518
Cl Mo Rh
1 1 2
Cartesian
4.308 2.487 1.759
6.462 3.731 2.638
0.000 0.000 0.000
2.154 1.244 0.879
```

Results
Energy relative to the elements, uncorrected, kJ per mole of atoms: 47.9
DFT total energy, eV per cell: -28.068
Total magnetization, Bohr magnetons per cell: 0.00
Energy above the lowest structure with this stoichiometry, meV/atom: 0.0
Space group: F-43m
D(E_F), states/eV per cell: 4.505

=====

VASP calculation (PBEsol) on an optimized crystal structure of MoRh2Cl.

```
MoRh2Cl
1.0
-3.186 1.569 -2.542
0.050 -0.780 -4.297
-2.929 -2.720 -1.760
Cl Mo Rh
1 1 2
Cartesian
0.000 0.000 0.000
-3.032 -0.965 -4.300
-1.516 -0.483 -2.150
-4.549 -1.448 -6.449
```

Results
Energy relative to the elements, uncorrected, kJ per mole of atoms: 67.2
DFT total energy, eV per cell: -27.265
Total magnetization, Bohr magnetons per cell: 0.00
Energy above the lowest structure with this stoichiometry, meV/atom: 200.7
Space group: Fm-3m
D(E_F), states/eV per cell: 3.649

=====

VASP calculation (PBEsol) on an optimized crystal structure of MoRh2Cl.

```
MoRh2Cl
1.0
-2.218 -1.589 0.435
-0.761 -0.214 -4.663
2.808 -3.527 1.431
Cl Mo Rh
1 1 2
Cartesian
-1.109 -0.795 0.217
-0.086 -2.665 -1.399
-0.380 -0.107 -2.332
1.404 -1.764 0.716
```

Results
Energy relative to the elements, uncorrected, kJ per mole of atoms: 55.5
DFT total energy, eV per cell: -27.752
Total magnetization, Bohr magnetons per cell: 0.00
Energy above the lowest structure with this stoichiometry, meV/atom: 79.0
Space group: Cmmm
D(E_F), states/eV per cell: 5.424

=====

VASP calculation (PBEsol) on an optimized crystal structure of Sc2MoRhCl.

```
Sc2MoRhCl
1.0
4.283 0.000 0.000
0.000 4.640 0.000
0.000 0.000 4.640
Sc Mo Rh Cl
2 1 1 1
Cartesian
0.000 0.000 2.320
0.000 2.320 0.000
2.142 2.320 2.320
2.142 0.000 0.000
0.000 0.000 0.000
```

Results
Energy relative to the elements, uncorrected, kJ per mole of atoms: 20.9
DFT total energy, eV per cell: -34.039
Total magnetization, Bohr magnetons per cell: 1.54
Space group: P4/mmm
D(E_F), states/eV per cell: 4.861

=====

VASP calculation (PBEsol) on an optimized crystal structure of MoRu2Cl.

```
MoRu2Cl
1.0
-2.952 1.743 -1.863
3.120 -2.035 -2.761
-1.105 -3.442 -1.469
Ru Mo Cl
2 1 1
Cartesian
0.545 -1.442 -2.214
-1.483 -2.292 -3.880
0.000 0.000 0.000
-2.029 -0.849 -1.666
```

Results
Energy relative to the elements, uncorrected, kJ per mole of atoms: 87.0
DFT total energy, eV per cell: -30.515
Total magnetization, Bohr magnetons per cell: 0.00
Energy above the lowest structure with this stoichiometry, meV/atom: 637.2
Space group: I4/mmm
D(E_F), states/eV per cell: 5.081

=====

VASP calculation (PBEsol) on an optimized crystal structure of MoRu2Cl.

```
MoRu2Cl
1.0
-0.347 2.380 1.413
-2.569 0.980 0.473
-1.295 -3.189 7.806
Ru Mo Cl
2 1 1
Cartesian
-1.294 -3.171 7.776
-3.159 0.111 7.297
-1.056 -0.003 2.499
-2.102 0.130 4.772
```

Results
Energy relative to the elements, uncorrected, kJ per mole of atoms: 25.5
DFT total energy, eV per cell: -33.064
Total magnetization, Bohr magnetons per cell: 0.00
Energy above the lowest structure with this stoichiometry, meV/atom: 0.0
Space group: R3m
D(E_F), states/eV per cell: 4.252

=====

VASP calculation (PBEsol) on an optimized crystal structure of MoRuCl.

```
MoRuCl
1.0
2.872 0.000 0.000
0.000 4.108 0.000
0.000 -2.054 3.558
Ru Mo Cl
1 1 1
Cartesian
0.829 2.054 1.186
2.273 0.000 2.372
2.643 0.000 0.000
```

Results
Energy relative to the elements, uncorrected, kJ per mole of atoms: 40.0
DFT total energy, eV per cell: -22.704
Total magnetization, Bohr magnetons per cell: 0.00
Space group: P3m1
D(E_F), states/eV per cell: 1.890